## ReHgAu (meta-GGA SCAN)

Data for a PBEsol-optimized structure of ReHgAu.

abc: 6.222 6.222 6.222
angles: 90.00 90.00 90.00
Space group F-43m (No. 216)
Asymmetric unit:
Re: 0.000 0.000 0.000
Hg: 0.250 0.250 0.250
Au: 0.000 0.000 0.500

- Electronic total energy: -2.4998 hartree per atom
- Energy of formation: 1.4508 eV per atom
- DOS(E_F): 1.8 states/eV/f.u.
- E above lowest polymorph: 0.778 eV/atom



## ScAuSe2 (meta-GGA SCAN)

Data for a PBEsol-optimized structure of ScAuSe2.

abc: 3.8999 3.8999 23.0102
angles: 90.00 90.00 120.00
Space group R-3m (No. 166, hexagonal axes)
Asymmetric unit:
Sc: 0.0000 0.0000 0.0000
Au: 0.0000 0.0000 0.5000
Se: 0.0000 0.0000 0.3962

- Electronic total energy: -1.1779 hartree per atom



## ZrNiF3 (meta-GGA SCAN)

Data for a PBEsol-optimized structure of ZrNiF3.

abc: 3.997 3.997 3.997
angles: 90.00 90.00 90.00
Space group Pm-3m (No. 221)
Asymmetric unit:
Zr: 0.000 0.000 0.000
Ni: 0.500 0.500 0.500
F: 0.000 0.500 0.500

- Electronic total energy: -0.4784 hartree per atom
- DOS(E_F): 4.3 states/eV/f.u.



## NaLi2P2 (meta-GGA SCAN)

Data for a PBEsol-optimized structure of NaLi2P2.

abc: 4.059 4.059 10.228
angles: 90.00 90.00 90.00
Space group I4/mmm (No. 139)
Asymmetric unit:
Na: 0.000 0.000 0.000
Li: 0.000 0.500 0.250
P: 0.000 0.000 0.395

- Electronic total energy: -0.2403 hartree per atom
- Energy of formation: -0.5805 eV per atom
- DOS(E_F): 1.2 states/eV/f.u.



> Among the records above, which one has the lowest electronic total energy?

ReHgAu



> Among the records above, which one has the highest electronic total energy?

NaLi2P2



Repeat the first record exactly.
## ReHgAu (meta-GGA SCAN)

Data for a PBEsol-optimized structure of ReHgAu.

abc: 6.222 6.222 6.222
angles: 90.00 90.00 90.00
Space group F-43m (No. 216)
Asymmetric unit:
Re: 0.000 0.000 0.000
Hg: 0.250 0.250 0.250
Au: 0.000 0.000 0.500

- Electronic total energy: -2.4998 hartree per atom
- Energy of formation: 1.4508 eV per atom
- DOS(E_F): 1.8 states/eV/f.u.
- E above lowest polymorph: 0.778 eV/atom



> The lowest electronic total energy belongs to which entry?

ReHgAu